a.
The following is a DFT calculation (PBE) of an optimized crystal structure of Mg2CrSb.

a b c (Å): 4.268 4.268 8.961
angles (deg): 90.00 90.00 90.00
Fractional coordinates of all 8 atoms:
Mg  0.000  0.000  0.000
Mg  0.000  0.500  0.250
Mg  0.500  0.000  0.750
Mg  0.500  0.500  0.500
Cr  0.000  0.500  0.750
Cr  0.500  0.000  0.250
Sb  0.000  0.000  0.500
Sb  0.500  0.500  0.000

- DOS(E_F): 5.651 states/eV per cell
- Space group: I-4m2, No. 119



b.
The following is a DFT calculation (PBE) of an optimized crystal structure of Mg2CrSb.

a b c (Å): 7.042 7.042 7.042
angles (deg): 90.00 90.00 90.00
Fractional coordinates of all 16 atoms:
Mg  0.250  0.250  0.250
Mg  0.250  0.250  0.750
Mg  0.250  0.750  0.250
Mg  0.250  0.750  0.750
Mg  0.750  0.250  0.250
Mg  0.750  0.250  0.750
Mg  0.750  0.750  0.250
Mg  0.750  0.750  0.750
Cr  0.000  0.000  0.000
Cr  0.000  0.500  0.500
Cr  0.500  0.000  0.500
Cr  0.500  0.500  0.000
Sb  0.000  0.000  0.500
Sb  0.000  0.500  0.000
Sb  0.500  0.000  0.000
Sb  0.500  0.500  0.500

- DOS(E_F): 7.622 states/eV per cell
- Space group: Fm-3m, No. 225



c.
The following is a DFT calculation (PBE) of an optimized crystal structure of Mg2CrSb.

a b c (Å): 3.695 3.695 6.099
angles (deg): 90.00 90.00 90.00
Fractional coordinates of all 4 atoms:
Mg  0.000  0.000  0.000
Mg  0.500  0.500  0.255
Cr  0.500  0.500  0.742
Sb  0.000  0.000  0.534

- DOS(E_F): 1.969 states/eV per cell
- Space group: P4mm, No. 99



a has the most favorable energy; the next structure is 29 meV per atom above.



a.
The following is a DFT calculation (PBE) of an optimized crystal structure of Mg2CrSb.

a b c (Å): 3.306 3.306 28.524
angles (deg): 90.00 90.00 120.00
Fractional coordinates of all 12 atoms:
Mg  0.000  0.000  0.246
Mg  0.000  0.000  0.754
Mg  0.333  0.667  0.420
Mg  0.333  0.667  0.913
Mg  0.667  0.333  0.087
Mg  0.667  0.333  0.580
Cr  0.000  0.000  0.500
Cr  0.333  0.667  0.167
Cr  0.667  0.333  0.833
Sb  0.000  0.000  0.000
Sb  0.333  0.667  0.667
Sb  0.667  0.333  0.333

- DOS(E_F): 7.123 states/eV per cell
- Space group: R-3m, No. 166



b.
The following is a DFT calculation (PBE) of an optimized crystal structure of Mg2CrSb.

a b c (Å): 3.255 4.186 6.192
angles (deg): 90.00 90.00 90.00
Fractional coordinates of all 4 atoms:
Mg  0.000  0.000  0.232
Mg  0.000  0.000  0.768
Cr  0.500  0.500  0.000
Sb  0.500  0.500  0.500

- DOS(E_F): 2.758 states/eV per cell
- Space group: Pmmm, No. 47



b has the most favorable energy; the next structure is 153 meV per atom above.



a.
The following is a DFT calculation (PBE) of an optimized crystal structure of Mg2CrSb.

a b c (Å): 4.327 4.327 4.347
angles (deg): 90.00 90.00 90.00
Fractional coordinates of all 4 atoms:
Mg  0.000  0.500  0.000
Mg  0.500  0.000  0.000
Cr  0.000  0.000  0.500
Sb  0.500  0.500  0.500

- DOS(E_F): 1.461 states/eV per cell
- Space group: P4/mmm, No. 123



b.
The following is a DFT calculation (PBE) of an optimized crystal structure of Mg2CrSb.

a b c (Å): 6.998 6.998 6.998
angles (deg): 90.00 90.00 90.00
Fractional coordinates of all 16 atoms:
Mg  0.000  0.000  0.000
Mg  0.000  0.500  0.500
Mg  0.250  0.250  0.250
Mg  0.250  0.750  0.750
Mg  0.500  0.000  0.500
Mg  0.500  0.500  0.000
Mg  0.750  0.250  0.750
Mg  0.750  0.750  0.250
Cr  0.000  0.000  0.500
Cr  0.000  0.500  0.000
Cr  0.500  0.000  0.000
Cr  0.500  0.500  0.500
Sb  0.250  0.250  0.750
Sb  0.250  0.750  0.250
Sb  0.750  0.250  0.250
Sb  0.750  0.750  0.750

- DOS(E_F): 9.935 states/eV per cell
- Space group: F-43m, No. 216



c.
The following is a DFT calculation (PBE) of an optimized crystal structure of Mg2CrSb.

a b c (Å): 5.918 8.880 3.209
angles (deg): 90.00 90.00 90.00
Fractional coordinates of all 8 atoms:
Mg  0.250  0.250  0.000
Mg  0.250  0.750  0.000
Mg  0.750  0.250  0.000
Mg  0.750  0.750  0.000
Cr  0.000  0.000  0.500
Cr  0.500  0.500  0.500
Sb  0.000  0.500  0.500
Sb  0.500  0.000  0.500

- DOS(E_F): 3.505 states/eV per cell
- Space group: Cmmm, No. 65



a has the most favorable energy; the next structure is 119 meV per atom above.



a.
The following is a DFT calculation (PBE) of an optimized crystal structure of Mg2CrSb.

a b c (Å): 3.215 3.215 8.422
angles (deg): 90.00 90.00 90.00
Fractional coordinates of all 4 atoms:
Mg  0.000  0.000  0.222
Mg  0.000  0.000  0.778
Cr  0.500  0.500  0.000
Sb  0.500  0.500  0.500

- DOS(E_F): 1.833 states/eV per cell
- Space group: P4/mmm, No. 123



b.
The following is a DFT calculation (PBE) of an optimized crystal structure of Mg2CrSb.

a b c (Å): 3.287 3.287 28.168
angles (deg): 90.00 90.00 120.00
Fractional coordinates of all 12 atoms:
Mg  0.000  0.000  0.000
Mg  0.000  0.000  0.242
Mg  0.333  0.667  0.667
Mg  0.333  0.667  0.909
Mg  0.667  0.333  0.333
Mg  0.667  0.333  0.575
Cr  0.000  0.000  0.497
Cr  0.333  0.667  0.164
Cr  0.667  0.333  0.830
Sb  0.000  0.000  0.758
Sb  0.333  0.667  0.425
Sb  0.667  0.333  0.092

- DOS(E_F): 10.255 states/eV per cell
- Space group: R3m, No. 160



c.
The following is a DFT calculation (PBE) of an optimized crystal structure of Mg2CrSb.

a b c (Å): 3.325 4.455 6.065
angles (deg): 90.00 105.87 90.00
Fractional coordinates of all 4 atoms:
Mg  0.000  0.000  0.000
Mg  0.356  0.500  0.706
Cr  0.758  0.000  0.508
Sb  0.617  0.500  0.232

- DOS(E_F): 1.896 states/eV per cell
- Space group: Pm, No. 6



c has the most favorable energy; the next structure is 59 meV per atom above.